Computed, not measured: a relaxed structure of Tb5CdRu2 at the GGA-PBE level of DFT.

Cell: 7.812 7.812 8.686 Å, 116.72 116.72 90.00°
Fractional positions:
Tb  0.525  0.710  0.735
Tb  0.500  0.500  0.000
Tb  0.000  0.000  0.000
Tb  0.790  0.975  0.265
Tb  0.975  0.475  0.265
Tb  0.210  0.025  0.735
Tb  0.025  0.525  0.735
Tb  0.475  0.290  0.265
Tb  0.290  0.790  0.265
Tb  0.710  0.210  0.735
Cd  0.250  0.250  0.500
Cd  0.750  0.750  0.500
Ru  0.643  0.143  0.000
Ru  0.357  0.857  0.000
Ru  0.143  0.357  0.000
Ru  0.857  0.643  0.000

Formation energy from the elements, eV per atom: -0.35